No. 1
Compound: Nd4F
Source: Alexandria via LeMat-Bulk
Functional: GGA-PBE
Structure: relaxed Values from VASP.

Quantum ESPRESSO input file:
```
&SYSTEM
  ibrav = 0, nat = 5, ntyp = 2
/
ATOMIC_SPECIES
Nd 144.24 Nd.upf
F 19.00 F.upf
ATOMIC_POSITIONS angstrom
Nd 3.628 -0.412 -0.535
Nd 1.246 -1.457 -3.154
Nd 1.493 -3.375 -0.010
Nd 0.000 0.000 0.000
F 3.184 -2.622 -1.850
CELL_PARAMETERS angstrom
-0.889 -4.421 -2.628
3.382 1.507 -3.679
3.875 -2.330 2.608
```

Results
space group = Pm-3m
crystal system = cubic
total magnetic moment = 0.0 μB/f.u.
density of states at the Fermi level = 4.8 states/eV/f.u.
electronic total energy = -5.167 eV per atom

=====

No. 2
Compound: Al2TcSeF
Source: Alexandria via LeMat-Bulk
Functional: GGA-PBE
Structure: relaxed Values from VASP.

Quantum ESPRESSO input file:
```
&SYSTEM
  ibrav = 0, nat = 5, ntyp = 4
/
ATOMIC_SPECIES
Tc 98.00 Tc.upf
F 19.00 F.upf
Al 26.98 Al.upf
Se 78.96 Se.upf
ATOMIC_POSITIONS angstrom
Tc 0.000 2.117 0.000
F 0.000 0.000 0.000
Al 0.000 0.000 2.213
Al 2.213 0.000 0.000
Se 2.213 2.117 2.213
CELL_PARAMETERS angstrom
4.427 0.000 0.000
0.000 4.235 0.000
0.000 0.000 4.427
```

Results
space group = P4/mmm
crystal system = tetragonal
total magnetic moment = 0.0 μB/f.u.
density of states at the Fermi level = 1.5 states/eV/f.u.
electronic total energy = -4.398 eV per atom

=====

No. 3
Compound: LiIrN3
Source: Alexandria via LeMat-Bulk
Functional: GGA-PBE
Structure: relaxed Values from VASP.

Quantum ESPRESSO input file:
```
&SYSTEM
  ibrav = 0, nat = 5, ntyp = 3
/
ATOMIC_SPECIES
N 14.01 N.upf
Ir 192.22 Ir.upf
Li 6.94 Li.upf
ATOMIC_POSITIONS angstrom
N 1.534 -0.109 1.152
N -1.143 -0.433 1.482
N 0.175 -1.868 -0.411
Ir 0.000 0.000 0.000
Li 0.565 -2.410 2.223
CELL_PARAMETERS angstrom
-2.287 -0.866 2.963
0.350 -3.736 -0.821
3.067 -0.218 2.303
```

Results
space group = Pm-3m
crystal system = cubic
total magnetic moment = 0.0 μB/f.u.
density of states at the Fermi level = 3.1 states/eV/f.u.
electronic total energy = -6.097 eV per atom

=====

No. 4
Compound: YHBr2
Source: Alexandria via LeMat-Bulk
Functional: GGA-PBE
Structure: relaxed Values from VASP.

Quantum ESPRESSO input file:
```
&SYSTEM
  ibrav = 0, nat = 4, ntyp = 3
/
ATOMIC_SPECIES
Br 79.90 Br.upf
H 1.01 H.upf
Y 88.91 Y.upf
ATOMIC_POSITIONS angstrom
Br 5.769 -12.910 21.647
Br 0.576 -1.290 2.163
H 3.173 -7.100 11.905
Y 0.000 0.000 0.000
CELL_PARAMETERS angstrom
1.240 -2.865 9.284
0.616 -6.562 7.246
4.490 -4.772 7.280
```

Results
space group = R-3m
crystal system = trigonal
total magnetic moment = 1.4 μB/f.u.
density of states at the Fermi level = 1.3 states/eV/f.u.
electronic total energy = -3.387 eV per atom

=====

No. 5
Compound: KMgBr2
Source: Alexandria via LeMat-Bulk
Functional: GGA-PBE
Structure: relaxed Values from VASP.

Quantum ESPRESSO input file:
```
&SYSTEM
  ibrav = 0, nat = 4, ntyp = 3
/
ATOMIC_SPECIES
Br 79.90 Br.upf
Mg 24.30 Mg.upf
K 39.10 K.upf
ATOMIC_POSITIONS angstrom
Br -0.850 0.318 3.273
Br -2.551 0.954 9.818
Mg 0.000 0.000 0.000
K -1.700 0.636 6.546
CELL_PARAMETERS angstrom
1.852 1.358 5.048
-3.350 2.597 3.577
-1.902 -2.683 4.466
```

Results
E above lowest polymorph = 178 meV/atom
space group = Fm-3m
crystal system = cubic
total magnetic moment = 0.9 μB/f.u.
density of states at the Fermi level = 2.0 states/eV/f.u.

=====

No. 6
Compound: Li3PmSm4Se8
Source: Alexandria via LeMat-Bulk
Functional: GGA-PBE
Structure: relaxed Values from VASP.

Quantum ESPRESSO input file:
```
&SYSTEM
  ibrav = 0, nat = 16, ntyp = 4
/
ATOMIC_SPECIES
Se 78.96 Se.upf
Pm 145.00 Pm.upf
Li 6.94 Li.upf
Sm 150.36 Sm.upf
ATOMIC_POSITIONS angstrom
Se -1.413 -2.459 0.863
Se 2.644 -3.354 4.815
Se 5.544 -2.493 2.115
Se -4.314 -3.319 3.564
Se 2.054 -0.534 2.036
Se 2.155 -4.376 0.920
Se -0.824 -5.278 3.642
Se -0.925 -1.437 4.758
Pm 0.118 -3.948 -1.131
Li 0.615 -2.906 2.839
Li -2.839 -4.826 1.622
Li 3.573 -2.029 0.086
Sm -2.957 -0.878 2.754
Sm 3.454 1.920 1.217
Sm 0.497 1.042 3.971
Sm 0.000 0.000 0.000
CELL_PARAMETERS angstrom
-5.914 -1.755 5.507
0.236 -7.896 -2.263
6.909 3.839 2.434
```

Results
space group = R-3m
crystal system = trigonal
total magnetic moment = 0.0 μB/f.u.
density of states at the Fermi level = 3.9 states/eV/f.u.
electronic total energy = -5.301 eV per atom

=====

No. 7
Compound: MnCoTe2Au
Source: Alexandria via LeMat-Bulk
Functional: GGA-PBE
Structure: relaxed Values from VASP.

Quantum ESPRESSO input file:
```
&SYSTEM
  ibrav = 0, nat = 5, ntyp = 4
/
ATOMIC_SPECIES
Mn 54.94 Mn.upf
Au 196.97 Au.upf
Te 127.60 Te.upf
Co 58.93 Co.upf
ATOMIC_POSITIONS angstrom
Mn 0.000 0.000 0.000
Au 2.452 2.242 2.452
Te 0.000 0.000 2.452
Te 2.452 0.000 0.000
Co 0.000 2.242 0.000
CELL_PARAMETERS angstrom
4.904 0.000 0.000
0.000 4.485 0.000
0.000 0.000 4.904
```

Results
space group = P4/mmm
crystal system = tetragonal
total magnetic moment = 1.8 μB/f.u.
density of states at the Fermi level = 7.0 states/eV/f.u.
electronic total energy = -4.321 eV per atom

=====

No. 8
Compound: FeCuP2
Source: Alexandria via LeMat-Bulk
Functional: GGA-PBE
Structure: relaxed Values from VASP.

Quantum ESPRESSO input file:
```
&SYSTEM
  ibrav = 0, nat = 4, ntyp = 3
/
ATOMIC_SPECIES
P 30.97 P.upf
Fe 55.84 Fe.upf
Cu 63.55 Cu.upf
ATOMIC_POSITIONS angstrom
P 4.314 4.314 4.314
P 1.438 1.438 1.438
Fe 0.000 0.000 0.000
Cu 2.876 2.876 2.876
CELL_PARAMETERS angstrom
0.000 2.876 2.876
2.876 0.000 2.876
2.876 2.876 0.000
```

Results
space group = Fm-3m
crystal system = cubic
total magnetic moment = 0.0 μB/f.u.
density of states at the Fermi level = 1.9 states/eV/f.u.
ΔE_f = 186 meV/atom